Here is a relaxed Ba2SrCr crystal from Alexandria. Energies are from PBE.

Geometry as CIF:
```
data_Ba2SrCr
_cell_length_a 9.019
_cell_length_b 9.019
_cell_length_c 9.019
_cell_angle_alpha 90.00
_cell_angle_beta 90.00
_cell_angle_gamma 90.00
_space_group_name_H-M_alt 'F m -3 m'
_space_group_IT_number 225
_space_group_name_Hall '-F 4 2 3'
loop_
_atom_site_label
_atom_site_type_symbol
_atom_site_fract_x
_atom_site_fract_y
_atom_site_fract_z
Ba1 Ba 0.250 0.250 0.250
Sr1 Sr 0.000 0.000 0.000
Cr1 Cr 0.000 0.000 0.500
```

**D(E_F)**: 29.69 states/eV per cell
**Final energy**: -3.26 eV per atom
**ΔE to the lowest computed polymorph**: 0.120 eV/atom
**Energy of formation**: 0.53 eV per atom
**Density**: 3.75 g/cm3

Here is a relaxed Sm2MnGa3Ni4 crystal from Alexandria. Energies are from PBE.

Geometry as CIF:
```
data_Sm2MnGa3Ni4
_cell_length_a 4.047
_cell_length_b 4.047
_cell_length_c 10.219
_cell_angle_alpha 90.00
_cell_angle_beta 90.00
_cell_angle_gamma 90.00
_space_group_name_H-M_alt 'P -4 m 2'
_space_group_IT_number 115
_space_group_name_Hall 'P -4 -2'
loop_
_atom_site_label
_atom_site_type_symbol
_atom_site_fract_x
_atom_site_fract_y
_atom_site_fract_z
Sm1 Sm 0.000 0.500 0.247
Mn1 Mn 0.000 0.000 0.500
Ga1 Ga 0.000 0.500 0.874
Ga2 Ga 0.500 0.500 0.500
Ni1 Ni 0.000 0.000 0.000
Ni2 Ni 0.000 0.500 0.638
Ni3 Ni 0.500 0.500 0.000
```

**D(E_F)**: 8.68 states/eV per cell
**Final energy**: -5.54 eV per atom
**Energy of formation**: -0.45 eV per atom
**Density**: 7.93 g/cm3

Here is a relaxed SiPAu crystal from Alexandria. Energies are from PBE.

Geometry as CIF:
```
data_SiPAu
_cell_length_a 6.008
_cell_length_b 6.008
_cell_length_c 6.008
_cell_angle_alpha 90.00
_cell_angle_beta 90.00
_cell_angle_gamma 90.00
_space_group_name_H-M_alt 'F -4 3 m'
_space_group_IT_number 216
_space_group_name_Hall 'F -4 2 3'
loop_
_atom_site_label
_atom_site_type_symbol
_atom_site_fract_x
_atom_site_fract_y
_atom_site_fract_z
Si1 Si 0.000 0.000 0.000
P1 P 0.250 0.250 0.750
Au1 Au 0.250 0.250 0.250
```

**D(E_F)**: 1.53 states/eV per cell
**Final energy**: -4.37 eV per atom
**ΔE to the lowest computed polymorph**: 0.530 eV/atom
**Density**: 7.84 g/cm3
**Energy relative to the elements, uncorrected**: 0.33 eV per atom

Here is a relaxed Rb3TlCr2Cl9 crystal from Alexandria. Energies are from PBE.

Geometry as CIF:
```
data_Rb3TlCr2Cl9
_cell_length_a 7.1877
_cell_length_b 7.1877
_cell_length_c 9.9139
_cell_angle_alpha 90.00
_cell_angle_beta 90.00
_cell_angle_gamma 120.00
_space_group_name_H-M_alt 'P -3 m 1'
_space_group_IT_number 164
_space_group_name_Hall '-P 3 2"'
loop_
_atom_site_label
_atom_site_type_symbol
_atom_site_fract_x
_atom_site_fract_y
_atom_site_fract_z
Rb1 Rb 0.0000 0.0000 0.0000
Rb2 Rb 0.3333 0.6667 0.7203
Tl1 Tl 0.0000 0.0000 0.5000
Cr1 Cr 0.3333 0.6667 0.1490
Cl1 Cl 0.0000 0.5000 0.0000
Cl2 Cl 0.1759 0.3518 0.2820
```

**D(E_F)**: 4.66 states/eV per cell
**Final energy**: -4.15 eV per atom
**Density**: 3.31 g/cm3
**Energy relative to the elements, uncorrected**: -1.41 eV per atom

Here is a relaxed Ti3PtC crystal from Alexandria. Energies are from PBE.

Geometry as CIF:
```
data_Ti3PtC
_cell_length_a 6.377
_cell_length_b 7.269
_cell_length_c 6.098
_cell_angle_alpha 90.00
_cell_angle_beta 90.00
_cell_angle_gamma 90.00
_space_group_name_H-M_alt 'C m c m'
_space_group_IT_number 63
_space_group_name_Hall '-C 2c 2'
loop_
_atom_site_label
_atom_site_type_symbol
_atom_site_fract_x
_atom_site_fract_y
_atom_site_fract_z
Ti1 Ti 0.000 0.229 0.250
Ti2 Ti 0.231 0.500 0.000
Pt1 Pt 0.000 0.206 0.750
C1 C 0.000 0.492 0.750
```

**D(E_F)**: 19.87 states/eV per cell
**Final energy**: -8.38 eV per atom
**ΔE to the lowest computed polymorph**: 0.231 eV/atom
**Energy of formation**: -0.59 eV per atom
**Density**: 8.24 g/cm3

Here is a relaxed Zn2ReCl crystal from Alexandria. Energies are from PBE.

Geometry as CIF:
```
data_Zn2ReCl
_cell_length_a 3.718
_cell_length_b 3.718
_cell_length_c 8.885
_cell_angle_alpha 90.00
_cell_angle_beta 90.00
_cell_angle_gamma 90.00
_space_group_name_H-M_alt 'I 4/m m m'
_space_group_IT_number 139
_space_group_name_Hall '-I 4 2'
loop_
_atom_site_label
_atom_site_type_symbol
_atom_site_fract_x
_atom_site_fract_y
_atom_site_fract_z
Zn1 Zn 0.000 0.500 0.250
Re1 Re 0.000 0.000 0.000
Cl1 Cl 0.000 0.000 0.500
```

**D(E_F)**: 6.72 states/eV per cell
**Final energy**: -3.37 eV per atom
**ΔE to the lowest computed polymorph**: 0.684 eV/atom
**Density**: 9.53 g/cm3
**Energy relative to the elements, uncorrected**: 0.84 eV per atom

Here is a relaxed Zn2GeN crystal from Alexandria. Energies are from PBE.

Geometry as CIF:
```
data_Zn2GeN
_cell_length_a 6.108
_cell_length_b 6.108
_cell_length_c 6.108
_cell_angle_alpha 90.00
_cell_angle_beta 90.00
_cell_angle_gamma 90.00
_space_group_name_H-M_alt 'F m -3 m'
_space_group_IT_number 225
_space_group_name_Hall '-F 4 2 3'
loop_
_atom_site_label
_atom_site_type_symbol
_atom_site_fract_x
_atom_site_fract_y
_atom_site_fract_z
Zn1 Zn 0.250 0.250 0.250
Ge1 Ge 0.000 0.000 0.000
N1 N 0.000 0.000 0.500
```

**D(E_F)**: 12.79 states/eV per cell
**Final energy**: -2.83 eV per atom
**ΔE to the lowest computed polymorph**: 0.746 eV/atom
**Density**: 6.34 g/cm3
**Energy relative to the elements, uncorrected**: 1.04 eV per atom

Here is a relaxed NaLiPa2Te5 crystal from Alexandria. Energies are from PBE.

Geometry as CIF:
```
data_NaLiPa2Te5
_cell_length_a 8.364
_cell_length_b 8.364
_cell_length_c 15.937
_cell_angle_alpha 90.00
_cell_angle_beta 90.00
_cell_angle_gamma 90.00
_space_group_name_H-M_alt 'I 4/m c m'
_space_group_IT_number 140
_space_group_name_Hall '-I 4 2c'
loop_
_atom_site_label
_atom_site_type_symbol
_atom_site_fract_x
_atom_site_fract_y
_atom_site_fract_z
Na1 Na 0.000 0.000 0.250
Li1 Li 0.000 0.500 0.250
Pa1 Pa 0.150 0.350 0.000
Te1 Te 0.000 0.000 0.000
Te2 Te 0.153 0.347 0.372
```

**D(E_F)**: 29.82 states/eV per cell
**Final energy**: -5.07 eV per atom
**Density**: 6.73 g/cm3
**Energy relative to the elements, uncorrected**: -0.86 eV per atom

Here is a relaxed YCoHg2Ge crystal from Alexandria. Energies are from PBE.

Geometry as CIF:
```
data_YCoHg2Ge
_cell_length_a 5.753
_cell_length_b 5.753
_cell_length_c 5.422
_cell_angle_alpha 90.00
_cell_angle_beta 90.00
_cell_angle_gamma 90.00
_space_group_name_H-M_alt 'P 4/m m m'
_space_group_IT_number 123
_space_group_name_Hall '-P 4 2'
loop_
_atom_site_label
_atom_site_type_symbol
_atom_site_fract_x
_atom_site_fract_y
_atom_site_fract_z
Y1 Y 0.000 0.000 0.000
Co1 Co 0.500 0.500 0.500
Hg1 Hg 0.000 0.500 0.000
Ge1 Ge 0.000 0.000 0.500
```

**D(E_F)**: 5.58 states/eV per cell
**Final energy**: -2.60 eV per atom
**Energy of formation**: 1.16 eV per atom
**Density**: 5.75 g/cm3

Here is a relaxed HfNb3C4 crystal from Alexandria. Energies are from PBE.

Geometry as CIF:
```
data_HfNb3C4
_cell_length_a 4.537
_cell_length_b 4.537
_cell_length_c 4.537
_cell_angle_alpha 90.00
_cell_angle_beta 90.00
_cell_angle_gamma 90.00
_space_group_name_H-M_alt 'P m -3 m'
_space_group_IT_number 221
_space_group_name_Hall '-P 4 2 3'
loop_
_atom_site_label
_atom_site_type_symbol
_atom_site_fract_x
_atom_site_fract_y
_atom_site_fract_z
Hf1 Hf 0.000 0.000 0.000
Nb1 Nb 0.000 0.500 0.500
C1 C 0.000 0.000 0.500
C2 C 0.500 0.500 0.500
```

**D(E_F)**: 0.51 states/eV per cell
**Final energy**: -10.24 eV per atom
**ΔE to the lowest computed polymorph**: 0.000 eV/atom
**Energy of formation**: -0.61 eV per atom
**Density**: 8.98 g/cm3

Here is a relaxed Cs2BiPBr6 crystal from Alexandria. Energies are from PBE.

Geometry as CIF:
```
data_Cs2BiPBr6
_cell_length_a 7.968
_cell_length_b 7.968
_cell_length_c 11.472
_cell_angle_alpha 90.00
_cell_angle_beta 90.00
_cell_angle_gamma 90.00
_space_group_name_H-M_alt 'I 4/m m m'
_space_group_IT_number 139
_space_group_name_Hall '-I 4 2'
loop_
_atom_site_label
_atom_site_type_symbol
_atom_site_fract_x
_atom_site_fract_y
_atom_site_fract_z
Cs1 Cs 0.000 0.500 0.250
Bi1 Bi 0.000 0.000 0.000
P1 P 0.000 0.000 0.500
Br1 Br 0.000 0.000 0.258
Br2 Br 0.238 0.238 0.500
```

**D(E_F)**: 7.75 states/eV per cell
**Final energy**: -2.98 eV per atom
**Density**: 4.49 g/cm3
**Energy relative to the elements, uncorrected**: -0.88 eV per atom

Here is a relaxed Ba2Ti9O20 crystal from Alexandria. Energies are from PBE.

Geometry as CIF:
```
data_Ba2Ti9O20
_cell_length_a 7.544
_cell_length_b 14.282
_cell_length_c 14.519
_cell_angle_alpha 89.82
_cell_angle_beta 79.63
_cell_angle_gamma 84.62
_space_group_name_H-M_alt 'P -1'
_space_group_IT_number 2
_space_group_name_Hall '-P 1'
loop_
_atom_site_label
_atom_site_type_symbol
_atom_site_fract_x
_atom_site_fract_y
_atom_site_fract_z
Ba1 Ba 0.006 0.250 0.128
Ba2 Ba 0.011 0.751 0.225
Ba3 Ba 0.249 0.062 0.522
Ba4 Ba 0.265 0.560 0.423
Ti1 Ti 0.164 0.838 0.637
Ti2 Ti 0.168 0.331 0.337
Ti3 Ti 0.179 0.490 0.935
Ti4 Ti 0.179 0.503 0.717
Ti5 Ti 0.180 0.992 0.034
Ti6 Ti 0.183 0.999 0.820
Ti7 Ti 0.185 0.987 0.253
Ti8 Ti 0.189 0.501 0.147
Ti9 Ti 0.195 0.331 0.552
Ti10 Ti 0.200 0.820 0.429
Ti11 Ti 0.447 0.668 0.597
Ti12 Ti 0.449 0.662 0.009
Ti13 Ti 0.450 0.164 0.690
Ti14 Ti 0.455 0.156 0.900
Ti15 Ti 0.457 0.654 0.805
Ti16 Ti 0.461 0.155 0.105
Ti17 Ti 0.465 0.151 0.310
Ti18 Ti 0.484 0.657 0.212
O1 O 0.008 0.246 0.320
O2 O 0.021 0.740 0.428
O3 O 0.059 0.435 0.840
O4 O 0.060 0.926 0.741
O5 O 0.068 0.931 0.943
O6 O 0.070 0.932 0.148
O7 O 0.071 0.429 0.042
O8 O 0.076 0.422 0.247
O9 O 0.079 0.897 0.537
O10 O 0.082 0.393 0.447
O11 O 0.086 0.417 0.642
O12 O 0.091 0.906 0.342
O13 O 0.256 0.582 0.824
O14 O 0.262 0.084 0.732
O15 O 0.266 0.075 0.924
O16 O 0.270 0.573 0.024
O17 O 0.271 0.078 0.120
O18 O 0.271 0.587 0.219
O19 O 0.280 0.072 0.322
O20 O 0.280 0.578 0.623
O21 O 0.296 0.237 0.622
O22 O 0.300 0.748 0.530
O23 O 0.333 0.245 0.407
O24 O 0.341 0.750 0.712
O25 O 0.350 0.735 0.914
O26 O 0.351 0.241 0.815
O27 O 0.359 0.738 0.114
O28 O 0.360 0.236 0.015
O29 O 0.360 0.240 0.213
O30 O 0.361 0.743 0.319
O31 O 0.387 0.907 0.617
O32 O 0.393 0.908 0.811
O33 O 0.394 0.422 0.719
O34 O 0.395 0.407 0.910
O35 O 0.397 0.907 0.011
O36 O 0.403 0.396 0.310
O37 O 0.403 0.409 0.113
O38 O 0.403 0.907 0.209
O39 O 0.409 0.393 0.506
O40 O 0.412 0.898 0.409
```

**D(E_F)**: 0.00 states/eV per cell
**Final energy**: -8.68 eV per atom
**Density**: 4.45 g/cm3
**Energy relative to the elements, uncorrected**: -3.06 eV per atom

Here is a relaxed NbMo2S crystal from Alexandria. Energies are from PBE.

Geometry as CIF:
```
data_NbMo2S
_cell_length_a 3.646
_cell_length_b 3.646
_cell_length_c 19.990
_cell_angle_alpha 90.00
_cell_angle_beta 90.00
_cell_angle_gamma 90.00
_space_group_name_H-M_alt 'I -4 2 d'
_space_group_IT_number 122
_space_group_name_Hall 'I -4 2bw'
loop_
_atom_site_label
_atom_site_type_symbol
_atom_site_fract_x
_atom_site_fract_y
_atom_site_fract_z
Nb1 Nb 0.000 0.000 0.000
Mo1 Mo 0.241 0.250 0.625
S1 S 0.000 0.000 0.500
```

**D(E_F)**: 16.37 states/eV per cell
**Final energy**: -8.64 eV per atom
**Density**: 7.92 g/cm3
**Energy relative to the elements, uncorrected**: 0.33 eV per atom

Here is a relaxed MnTcBr2 crystal from Alexandria. Energies are from PBE.

Geometry as CIF:
```
data_MnTcBr2
_cell_length_a 6.814
_cell_length_b 6.814
_cell_length_c 6.814
_cell_angle_alpha 90.00
_cell_angle_beta 90.00
_cell_angle_gamma 90.00
_space_group_name_H-M_alt 'F -4 3 m'
_space_group_IT_number 216
_space_group_name_Hall 'F -4 2 3'
loop_
_atom_site_label
_atom_site_type_symbol
_atom_site_fract_x
_atom_site_fract_y
_atom_site_fract_z
Mn1 Mn 0.000 0.000 0.000
Tc1 Tc 0.250 0.250 0.250
Br1 Br 0.000 0.000 0.500
Br2 Br 0.250 0.250 0.750
```

**D(E_F)**: 21.53 states/eV per cell
**Final energy**: -4.59 eV per atom
**ΔE to the lowest computed polymorph**: 1.048 eV/atom
**Density**: 6.57 g/cm3
**Energy relative to the elements, uncorrected**: 1.13 eV per atom

Here is a relaxed SrGa2O4 crystal from Alexandria. Energies are from PBE.

Geometry as CIF:
```
data_SrGa2O4
_cell_length_a 7.807
_cell_length_b 7.807
_cell_length_c 6.394
_cell_angle_alpha 90.00
_cell_angle_beta 90.00
_cell_angle_gamma 90.00
_space_group_name_H-M_alt 'I -4 2 d'
_space_group_IT_number 122
_space_group_name_Hall 'I -4 2bw'
loop_
_atom_site_label
_atom_site_type_symbol
_atom_site_fract_x
_atom_site_fract_y
_atom_site_fract_z
Sr1 Sr 0.000 0.000 0.000
Ga1 Ga 0.070 0.750 0.625
O1 O 0.053 0.210 0.373
```

**D(E_F)**: 0.00 states/eV per cell
**Final energy**: -6.08 eV per atom
**ΔE to the lowest computed polymorph**: 0.100 eV/atom
**Density**: 4.96 g/cm3
**Energy relative to the elements, uncorrected**: -2.14 eV per atom

Here is a relaxed Tm2ScPaAs4 crystal from Alexandria. Energies are from PBE.

Geometry as CIF:
```
data_Tm2ScPaAs4
_cell_length_a 6.946
_cell_length_b 4.041
_cell_length_c 6.985
_cell_angle_alpha 90.00
_cell_angle_beta 109.48
_cell_angle_gamma 90.00
_space_group_name_H-M_alt 'P 1 2/m 1'
_space_group_IT_number 10
_space_group_name_Hall '-P 2y'
loop_
_atom_site_label
_atom_site_type_symbol
_atom_site_fract_x
_atom_site_fract_y
_atom_site_fract_z
Tm1 Tm 0.000 0.000 0.000
Tm2 Tm 0.500 0.500 0.000
Sc1 Sc 0.000 0.500 0.500
Pa1 Pa 0.500 0.000 0.500
As1 As 0.243 0.000 0.742
As2 As 0.244 0.500 0.252
```

**D(E_F)**: 5.25 states/eV per cell
**Final energy**: -6.77 eV per atom
**Energy of formation**: -1.35 eV per atom
**Density**: 8.21 g/cm3